No. 1
First-principles (PBE-GGA) data for a relaxed structure of KFeSn2C, as listed in Alexandria.

DOS at the Fermi energy, states/eV per atom: 1.2680
E_tot, Ha/atom: -0.1491
Crystal system: tetragonal
ρ, g/cm3: 5.34
Formation enthalpy at 0 K, meV per atom: 1300

Structure (CIF):
```
data_KFeSn2C
_chemical_formula_sum 'K1 Fe1 Sn2 C1'
_space_group_name_H-M_alt 'P 4/m m m'
_space_group_IT_number 123
_space_group_name_Hall '-P 4 2'
_cell_length_a 4.603
_cell_length_b 4.603
_cell_length_c 5.056
_cell_angle_alpha 90.00
_cell_angle_beta 90.00
_cell_angle_gamma 90.00
loop_
_atom_site_label
_atom_site_type_symbol
_atom_site_fract_x
_atom_site_fract_y
_atom_site_fract_z
_atom_site_occupancy
K1 K 0.000 0.000 0.000 1
Fe1 Fe 0.500 0.500 0.000 1
Sn1 Sn 0.000 0.500 0.500 1
C1 C 0.000 0.000 0.500 1
```

=====

No. 2
First-principles (PBE-GGA) data for a relaxed structure of KTaFeC2, as listed in Alexandria.

DOS at the Fermi energy, states/eV per atom: 1.7308
E_tot, Ha/atom: -0.1985
Crystal system: tetragonal
ρ, g/cm3: 4.34
Formation enthalpy at 0 K, meV per atom: 2572

Structure (CIF):
```
data_KTaFeC2
_chemical_formula_sum 'K1 Ta1 Fe1 C2'
_space_group_name_H-M_alt 'P 4/m m m'
_space_group_IT_number 123
_space_group_name_Hall '-P 4 2'
_cell_length_a 4.254
_cell_length_b 4.254
_cell_length_c 6.340
_cell_angle_alpha 90.00
_cell_angle_beta 90.00
_cell_angle_gamma 90.00
loop_
_atom_site_label
_atom_site_type_symbol
_atom_site_fract_x
_atom_site_fract_y
_atom_site_fract_z
_atom_site_occupancy
K1 K 0.000 0.000 0.000 1
Ta1 Ta 0.000 0.000 0.500 1
Fe1 Fe 0.500 0.500 0.000 1
C1 C 0.000 0.500 0.500 1
```

=====

No. 3
First-principles (PBE-GGA) data for a relaxed structure of K2TlFeC, as listed in Alexandria.

DOS at the Fermi energy, states/eV per atom: 0.3181
E_tot, Ha/atom: -0.1146
Crystal system: tetragonal
ρ, g/cm3: 3.62
Formation enthalpy at 0 K, meV per atom: 1332

Structure (CIF):
```
data_K2TlFeC
_chemical_formula_sum 'K2 Tl1 Fe1 C1'
_space_group_name_H-M_alt 'P 4/m m m'
_space_group_IT_number 123
_space_group_name_Hall '-P 4 2'
_cell_length_a 6.191
_cell_length_b 6.191
_cell_length_c 4.194
_cell_angle_alpha 90.00
_cell_angle_beta 90.00
_cell_angle_gamma 90.00
loop_
_atom_site_label
_atom_site_type_symbol
_atom_site_fract_x
_atom_site_fract_y
_atom_site_fract_z
_atom_site_occupancy
K1 K 0.000 0.500 0.000 1
Tl1 Tl 0.000 0.000 0.500 1
Fe1 Fe 0.500 0.500 0.500 1
C1 C 0.000 0.000 0.000 1
```